This record from Alexandria describes a relaxed Ta2CuIr crystal. The functional is PBE.

abc: 4.860 4.860 4.860
angles: 131.67 131.78 70.66
Element x y z (fractional)
Cu (0.750, 0.250, 0.500)
Ir (0.250, 0.750, 0.500)
Ta (0.000, 0.000, 0.000)
Ta (0.500, 0.500, 0.000)

Computed properties:
- Calculated formation energy: -20.2 kJ/mol of atoms
- Magnetic moment: 0.00 μB per formula unit